A plane-wave DFT calculation with PBE-GGA was carried out for crystalline Li4CdAg6 at its relaxed geometry.

Cell lengths 7.0557, 7.0557, 7.0557 Å; angles 124.42, 124.42, 82.50 degrees
Fractional positions:
1 Li 0.0809 0.5858 0.0000
2 Li 0.4142 0.4142 0.4951
3 Li 0.5858 0.0809 0.0000
4 Li 0.9191 0.9191 0.5049
5 Cd 0.5000 0.5000 0.0000
6 Ag 0.0000 0.5000 0.5000
7 Ag 0.0506 0.0506 0.3057
8 Ag 0.2551 0.9494 0.0000
9 Ag 0.5000 0.0000 0.5000
10 Ag 0.7449 0.7449 0.6943
11 Ag 0.9494 0.2551 0.0000

Results
SG ... No. 121
ΔH_f (0 K) ... 0.04 eV per atom

***

A plane-wave DFT calculation with PBE-GGA was carried out for crystalline SrAg4Pd2 at its relaxed geometry.

Cell lengths 8.2594, 8.2594, 5.5886 Å; angles 90.00, 90.00, 90.00 degrees
Fractional positions:
1 Sr 0.0000 0.0000 0.0000
2 Sr 0.5000 0.5000 0.5000
3 Ag 0.0000 0.2284 0.5000
4 Ag 0.0000 0.7716 0.5000
5 Ag 0.2284 0.0000 0.5000
6 Ag 0.2716 0.5000 0.0000
7 Ag 0.5000 0.2716 0.0000
8 Ag 0.5000 0.7284 0.0000
9 Ag 0.7284 0.5000 0.0000
10 Ag 0.7716 0.0000 0.5000
11 Pd 0.0000 0.5000 0.2500
12 Pd 0.0000 0.5000 0.7500
13 Pd 0.5000 0.0000 0.2500
14 Pd 0.5000 0.0000 0.7500

Results
Offset from the most stable computed form ... 0.4395 eV per atom
SG ... No. 139
ΔH_f (0 K) ... 0.22 eV per atom

***

A plane-wave DFT calculation with PBE-GGA was carried out for crystalline ErNbTcRh at its relaxed geometry.

Cell lengths 6.5579, 6.5579, 6.5579 Å; angles 90.00, 90.00, 90.00 degrees
Fractional positions:
1 Er 0.0000 0.0000 0.0000
2 Er 0.0000 0.5000 0.5000
3 Er 0.5000 0.0000 0.5000
4 Er 0.5000 0.5000 0.0000
5 Nb 0.0000 0.0000 0.5000
6 Nb 0.0000 0.5000 0.0000
7 Nb 0.5000 0.0000 0.0000
8 Nb 0.5000 0.5000 0.5000
9 Tc 0.2500 0.2500 0.2500
10 Tc 0.2500 0.7500 0.7500
11 Tc 0.7500 0.2500 0.7500
12 Tc 0.7500 0.7500 0.2500
13 Rh 0.2500 0.2500 0.7500
14 Rh 0.2500 0.7500 0.2500
15 Rh 0.7500 0.2500 0.2500
16 Rh 0.7500 0.7500 0.7500

Results
SG ... No. 216
ΔH_f (0 K) ... -0.37 eV per atom

***

A plane-wave DFT calculation with PBE-GGA was carried out for crystalline DyHf2N at its relaxed geometry.

Cell lengths 3.2252, 3.2252, 26.4032 Å; angles 90.00, 90.00, 120.00 degrees
Fractional positions:
1 Dy 0.0000 0.0000 0.0000
2 Dy 0.3333 0.6667 0.6667
3 Dy 0.6667 0.3333 0.3333
4 Hf 0.0000 0.0000 0.1199
5 Hf 0.0000 0.0000 0.8801
6 Hf 0.3333 0.6667 0.5468
7 Hf 0.3333 0.6667 0.7865
8 Hf 0.6667 0.3333 0.2135
9 Hf 0.6667 0.3333 0.4532
10 N 0.0000 0.0000 0.5000
11 N 0.3333 0.6667 0.1667
12 N 0.6667 0.3333 0.8333

Results
Formation energy without anion corrections ... -647 meV/atom
SG ... No. 166

***

A plane-wave DFT calculation with PBE-GGA was carried out for crystalline ZrCd2Co at its relaxed geometry.

Cell lengths 9.9025, 3.6054, 4.8513 Å; angles 90.00, 119.33, 90.00 degrees
Fractional positions:
1 Zr 0.0000 0.0000 0.0000
2 Zr 0.5000 0.5000 0.0000
3 Cd 0.0561 0.5000 0.5563
4 Cd 0.2843 0.5000 0.2844
5 Cd 0.5561 0.0000 0.5563
6 Cd 0.7843 0.0000 0.2844
7 Co 0.2992 0.0000 0.7983
8 Co 0.7992 0.5000 0.7983

Results
Offset from the most stable computed form ... 0.1537 eV per atom
SG ... No. 8
ΔH_f (0 K) ... 0.08 eV per atom

***

A plane-wave DFT calculation with PBE-GGA was carried out for crystalline YReAu at its relaxed geometry.

Cell lengths 2.9423, 2.9423, 7.6141 Å; angles 90.00, 90.00, 120.00 degrees
Fractional positions:
1 Y 0.0000 0.0000 0.0000
2 Re 0.3333 0.6667 0.6574
3 Au 0.6667 0.3333 0.3493

Results
Offset from the most stable computed form ... 0.3245 eV per atom
SG ... No. 156
ΔH_f (0 K) ... 0.51 eV per atom

***

A plane-wave DFT calculation with PBE-GGA was carried out for crystalline CaBeRh at its relaxed geometry.

Cell lengths 4.1910, 4.1910, 6.8131 Å; angles 90.00, 90.00, 90.00 degrees
Fractional positions:
1 Ca 0.2500 0.2500 0.1937
2 Ca 0.7500 0.7500 0.8063
3 Be 0.2500 0.2500 0.6269
4 Be 0.7500 0.7500 0.3731
5 Rh 0.2500 0.7500 0.5000
6 Rh 0.7500 0.2500 0.5000

Results
Offset from the most stable computed form ... 0.0000 eV per atom
SG ... No. 129
ΔH_f (0 K) ... -0.47 eV per atom

***

A plane-wave DFT calculation with PBE-GGA was carried out for crystalline AcEuIn2 at its relaxed geometry.

Cell lengths 3.9454, 3.9454, 31.2693 Å; angles 90.00, 90.00, 120.00 degrees
Fractional positions:
1 Ac 0.0000 0.0000 0.0000
2 Ac 0.3333 0.6667 0.6667
3 Ac 0.6667 0.3333 0.3333
4 Eu 0.0000 0.0000 0.5000
5 Eu 0.3333 0.6667 0.1667
6 Eu 0.6667 0.3333 0.8333
7 In 0.0000 0.0000 0.2473
8 In 0.0000 0.0000 0.7527
9 In 0.3333 0.6667 0.4194
10 In 0.3333 0.6667 0.9140
11 In 0.6667 0.3333 0.0860
12 In 0.6667 0.3333 0.5806

Results
Offset from the most stable computed form ... 0.1951 eV per atom
SG ... No. 166
ΔH_f (0 K) ... -0.25 eV per atom

***

A plane-wave DFT calculation with PBE-GGA was carried out for crystalline CsBaSr4 at its relaxed geometry.

Cell lengths 8.2026, 8.2026, 8.2026 Å; angles 60.00, 60.00, 60.00 degrees
Fractional positions:
1 Cs 0.0000 0.0000 0.0000
2 Ba 0.7500 0.7500 0.7500
3 Sr 0.3757 0.3757 0.3757
4 Sr 0.3757 0.3757 0.8729
5 Sr 0.3757 0.8729 0.3757
6 Sr 0.8729 0.3757 0.3757

Results
SG ... No. 216
ΔH_f (0 K) ... 0.11 eV per atom

***

A plane-wave DFT calculation with PBE-GGA was carried out for crystalline Pr5Bi4 at its relaxed geometry.

Cell lengths 9.4069, 9.4069, 9.4069 Å; angles 93.27, 93.27, 152.35 degrees
Fractional positions:
1 Pr 0.0000 0.0000 0.0000
2 Pr 0.2774 0.6004 0.8778
3 Pr 0.3996 0.2774 0.6770
4 Pr 0.6004 0.7226 0.3230
5 Pr 0.7226 0.3996 0.1222
6 Bi 0.0888 0.7627 0.8515
7 Bi 0.2373 0.0888 0.3261
8 Bi 0.7627 0.9112 0.6739
9 Bi 0.9112 0.2373 0.1485

Results
SG ... No. 87
ΔH_f (0 K) ... -0.69 eV per atom

***

A plane-wave DFT calculation with PBE-GGA was carried out for crystalline Ba2NdPdO5 at its relaxed geometry.

Cell lengths 7.1793, 7.1793, 11.9318 Å; angles 90.00, 90.00, 148.92 degrees
Fractional positions:
1 Ba 0.0941 0.9059 0.5000
2 Ba 0.1457 0.8543 0.1411
3 Ba 0.8543 0.1457 0.6411
4 Ba 0.9059 0.0941 0.0000
5 Nd 0.2015 0.7985 0.8473
6 Nd 0.7985 0.2015 0.3473
7 Pd 0.4800 0.5200 0.2682
8 Pd 0.5200 0.4800 0.7682
9 O 0.0292 0.9708 0.8130
10 O 0.2812 0.7188 0.4701
11 O 0.3311 0.6689 0.2219
12 O 0.3687 0.6313 0.8143
13 O 0.4826 0.5174 0.5882
14 O 0.5174 0.4826 0.0882
15 O 0.6313 0.3687 0.3143
16 O 0.6689 0.3311 0.7219
17 O 0.7188 0.2812 0.9701
18 O 0.9708 0.0292 0.3130

Results
Formation energy without anion corrections ... -2096 meV/atom
SG ... No. 36

***

A plane-wave DFT calculation with PBE-GGA was carried out for crystalline InHg2 at its relaxed geometry.

Cell lengths 8.5829, 8.5829, 3.8121 Å; angles 90.00, 90.00, 120.00 degrees
Fractional positions:
1 In 0.0000 0.0000 0.0000
2 In 0.3333 0.6667 0.5000
3 In 0.6667 0.3333 0.5000
4 Hg 0.0000 0.2851 0.5000
5 Hg 0.0000 0.6138 0.0000
6 Hg 0.2851 0.0000 0.5000
7 Hg 0.3862 0.3862 0.0000
8 Hg 0.6138 0.0000 0.0000
9 Hg 0.7149 0.7149 0.5000

Results
SG ... No. 189
ΔH_f (0 K) ... 0.02 eV per atom

***

A plane-wave DFT calculation with PBE-GGA was carried out for crystalline HoMgZnIn at its relaxed geometry.

Cell lengths 7.0888, 7.0888, 7.0888 Å; angles 90.00, 90.00, 90.00 degrees
Fractional positions:
1 Ho 0.0000 0.0000 0.0000
2 Ho 0.0000 0.5000 0.5000
3 Ho 0.5000 0.0000 0.5000
4 Ho 0.5000 0.5000 0.0000
5 Mg 0.0000 0.0000 0.5000
6 Mg 0.0000 0.5000 0.0000
7 Mg 0.5000 0.0000 0.0000
8 Mg 0.5000 0.5000 0.5000
9 Zn 0.2500 0.2500 0.7500
10 Zn 0.2500 0.7500 0.2500
11 Zn 0.7500 0.2500 0.2500
12 Zn 0.7500 0.7500 0.7500
13 In 0.2500 0.2500 0.2500
14 In 0.2500 0.7500 0.7500
15 In 0.7500 0.2500 0.7500
16 In 0.7500 0.7500 0.2500

Results
SG ... No. 216
ΔH_f (0 K) ... -0.30 eV per atom

***

A plane-wave DFT calculation with PBE-GGA was carried out for crystalline AlTc3Br at its relaxed geometry.

Cell lengths 4.5281, 4.5281, 4.5281 Å; angles 90.00, 90.00, 90.00 degrees
Fractional positions:
1 Al 0.0000 0.0000 0.0000
2 Tc 0.0000 0.5000 0.5000
3 Tc 0.5000 0.0000 0.5000
4 Tc 0.5000 0.5000 0.0000
5 Br 0.5000 0.5000 0.5000

Results
Offset from the most stable computed form ... 0.0000 eV per atom
Formation energy without anion corrections ... 1465 meV/atom
SG ... No. 221

***

A plane-wave DFT calculation with PBE-GGA was carried out for crystalline LaY3Tm at its relaxed geometry.

Cell lengths 11.8156, 10.5391, 5.5147 Å; angles 90.00, 90.00, 90.00 degrees
Fractional positions:
1 La 0.0509 0.2500 0.0011
2 La 0.4491 0.7500 0.5011
3 La 0.5509 0.2500 0.4989
4 La 0.9491 0.7500 0.9989
5 Y 0.1708 0.7500 0.4990
6 Y 0.1902 0.5626 0.9993
7 Y 0.1902 0.9374 0.9993
8 Y 0.3098 0.0626 0.4993
9 Y 0.3098 0.4374 0.4993
10 Y 0.3292 0.2500 0.9990
11 Y 0.6708 0.7500 0.0010
12 Y 0.6902 0.5626 0.5007
13 Y 0.6902 0.9374 0.5007
14 Y 0.8098 0.0626 0.0007
15 Y 0.8098 0.4374 0.0007
16 Y 0.8292 0.2500 0.5010
17 Tm 0.0000 0.0000 0.5000
18 Tm 0.0000 0.5000 0.5000
19 Tm 0.5000 0.0000 0.0000
20 Tm 0.5000 0.5000 0.0000

Results
Offset from the most stable computed form ... 0.1641 eV per atom
SG ... No. 62
ΔH_f (0 K) ... 0.19 eV per atom

***

A plane-wave DFT calculation with PBE-GGA was carried out for crystalline Ac5Hg2HIr at its relaxed geometry.

Cell lengths 9.9384, 9.9384, 14.2933 Å; angles 90.00, 90.00, 154.93 degrees
Fractional positions:
1 Ac 0.9998 0.0002 0.0000
2 Ac 0.0002 0.9998 0.5000
3 Ac 0.1466 0.8534 0.7563
4 Ac 0.1952 0.8048 0.1161
5 Ac 0.1981 0.8019 0.4004
6 Ac 0.4536 0.5464 0.7420
7 Ac 0.5464 0.4536 0.2420
8 Ac 0.8019 0.1981 0.9004
9 Ac 0.8048 0.1952 0.6161
10 Ac 0.8534 0.1466 0.2563
11 Hg 0.3760 0.6240 0.4414
12 Hg 0.3767 0.6233 0.0724
13 Hg 0.6233 0.3767 0.5724
14 Hg 0.6240 0.3760 0.9414
15 H 0.0641 0.9359 0.1487
16 H 0.9359 0.0641 0.6487
17 Ir 0.2994 0.7006 0.7580
18 Ir 0.7006 0.2994 0.2580

Results
SG ... No. 36

***

A plane-wave DFT calculation with PBE-GGA was carried out for crystalline Sm7Hg2Au2 at its relaxed geometry.

Cell lengths 6.9505, 6.9505, 7.4823 Å; angles 90.00, 90.00, 108.27 degrees
Fractional positions:
1 Sm 0.0000 0.0000 0.0000
2 Sm 0.0000 0.5000 0.2694
3 Sm 0.0000 0.5000 0.7306
4 Sm 0.5000 0.0000 0.2694
5 Sm 0.5000 0.0000 0.7306
6 Sm 0.5000 0.5000 0.2582
7 Sm 0.5000 0.5000 0.7418
8 Hg 0.1767 0.1767 0.5000
9 Hg 0.8233 0.8233 0.5000
10 Au 0.2936 0.7064 0.0000
11 Au 0.7064 0.2936 0.0000

Results
SG ... No. 65
ΔH_f (0 K) ... -0.27 eV per atom

***

A plane-wave DFT calculation with PBE-GGA was carried out for crystalline SrIr2Os2 at its relaxed geometry.

Cell lengths 7.8667, 7.8667, 2.7706 Å; angles 90.00, 90.00, 90.00 degrees
Fractional positions:
1 Sr 0.0000 0.0000 0.0000
2 Sr 0.5000 0.5000 0.0000
3 Ir 0.1779 0.3221 0.5000
4 Ir 0.3221 0.8221 0.5000
5 Ir 0.6779 0.1779 0.5000
6 Ir 0.8221 0.6779 0.5000
7 Os 0.1174 0.6174 0.0000
8 Os 0.3826 0.1174 0.0000
9 Os 0.6174 0.8826 0.0000
10 Os 0.8826 0.3826 0.0000

Results
SG ... No. 127
ΔH_f (0 K) ... 0.20 eV per atom

***

A plane-wave DFT calculation with PBE-GGA was carried out for crystalline La2CdP2O at its relaxed geometry.

Cell lengths 3.4401, 3.4401, 14.8909 Å; angles 90.00, 90.00, 90.00 degrees
Fractional positions:
1 La 0.0000 0.0000 0.1418
2 La 0.0000 0.0000 0.8582
3 Cd 0.0000 0.0000 0.5000
4 P 0.0000 0.0000 0.3365
5 P 0.0000 0.0000 0.6635
6 O 0.0000 0.0000 0.0000

Results
Formation energy without anion corrections ... -262 meV/atom
SG ... No. 123

***

A plane-wave DFT calculation with PBE-GGA was carried out for crystalline RbTm2AgSe4 at its relaxed geometry.

Cell lengths 7.4081, 7.4081, 14.7646 Å; angles 90.00, 90.00, 147.18 degrees
Fractional positions:
1 Rb 0.1204 0.8796 0.7500
2 Rb 0.8796 0.1204 0.2500
3 Tm 0.3694 0.6306 0.5670
4 Tm 0.3694 0.6306 0.9330
5 Tm 0.6306 0.3694 0.0670
6 Tm 0.6306 0.3694 0.4330
7 Ag 0.1648 0.8352 0.2500
8 Ag 0.8352 0.1648 0.7500
9 Se 0.0000 0.0000 0.0000
10 Se 0.0000 0.0000 0.5000
11 Se 0.2611 0.7389 0.0987
12 Se 0.2611 0.7389 0.4013
13 Se 0.4432 0.5568 0.7500
14 Se 0.5568 0.4432 0.2500
15 Se 0.7389 0.2611 0.5987
16 Se 0.7389 0.2611 0.9013

Results
Formation energy without anion corrections ... -1431 meV/atom
SG ... No. 63

***

E (eV per atom)
-2.30; -3.13; -8.46; -8.86; -4.29; -6.89; -4.83; -5.21; -1.48; -5.07; -6.38; -1.10; -2.85; -5.84; -5.56; -4.19; -3.92; -8.18; -4.69; -4.77